Record 1
Li4Np3ScSe8 PBE optimized geometry; total magnetic moment = 12.00 μB per formula unit; space group = R-3m; crystal system = trigonal; calculated density = 6.43 g/cm3
1.0
4.0374 2.3310 6.4759
-4.0374 2.3310 6.4759
0.0000 -4.6620 6.4759
Li Np Sc Se
4 3 1 8
Cartesian
0.0000 0.0000 0.0000
-2.0187 -1.1655 6.4759
-2.0187 1.1655 12.9518
0.0000 2.3310 6.4759
-4.0374 0.0000 9.7138
-2.0187 1.1655 3.2379
2.0187 1.1655 3.2379
0.0000 0.0000 9.7138
0.0000 0.0000 4.9130
0.0000 -2.2482 8.0856
-1.9470 1.1241 8.0856
-1.9470 -1.1241 11.3421
1.9470 1.1241 8.0856
1.9470 -1.1241 11.3421
0.0000 2.2482 11.3421
0.0000 0.0000 14.5146



Record 2
Li2NpScSe4 PBE optimized geometry; total magnetic moment = 4.00 μB per formula unit; space group = P2/m; crystal system = monoclinic; calculated density = 5.71 g/cm3
1.0
6.8645 0.0000 0.0000
0.0000 3.9840 0.0000
-2.3119 0.0000 6.4991
Li Np Sc Se
2 1 1 4
Cartesian
0.0000 0.0000 0.0000
-1.1559 1.9920 3.2496
2.2763 0.0000 3.2496
3.4322 1.9920 0.0000
1.1444 1.9920 1.5347
-0.0216 0.0000 4.9585
4.5742 0.0000 1.5407
3.4082 1.9920 4.9644



Record 3
Li2Np3ScSe6 PBE optimized geometry; total magnetic moment = 13.29 μB per formula unit; space group = C2/m; crystal system = monoclinic; calculated density = 7.50 g/cm3
1.0
8.7308 -2.0184 0.0000
8.7308 2.0184 0.0000
-1.6918 0.0000 7.8170
Li Np Sc Se
2 3 1 6
Cartesian
2.4112 0.0000 2.6922
13.3587 0.0000 5.1248
1.5352 0.0000 6.5134
7.8849 0.0000 3.9085
14.2346 0.0000 1.3036
8.7308 0.0000 0.0000
-0.3615 0.0000 1.8715
5.0686 0.0000 3.3077
4.3790 0.0000 7.1048
11.3909 0.0000 0.7122
10.7013 0.0000 4.5093
16.1314 0.0000 5.9455



Record 4
Li3NpSc2Se6 PBE optimized geometry; total magnetic moment = 4.01 μB per formula unit; space group = C2/m; crystal system = monoclinic; calculated density = 5.22 g/cm3
1.0
3.4230 -5.9310 0.0000
3.4230 5.9310 0.0000
-2.2821 0.0000 6.4404
Li Np Sc Se
3 1 2 6
Cartesian
0.0000 0.0000 0.0000
3.4230 1.9719 0.0000
3.4230 -1.9719 0.0000
2.2819 0.0000 3.2202
2.2819 3.9530 3.2202
2.2819 -3.9530 3.2202
1.0927 2.0601 1.6294
-0.0957 0.0000 4.8214
1.0927 -2.0601 1.6294
3.4711 2.0601 4.8110
4.6595 0.0000 1.6190
3.4711 -2.0601 4.8110



Record 5
Li3Np2ScSe6 PBE optimized geometry; total magnetic moment = 8.00 μB per formula unit; space group = C2/m; crystal system = monoclinic; calculated density = 6.19 g/cm3
1.0
3.4828 -6.0355 0.0000
3.4828 6.0355 0.0000
-2.3207 0.0000 6.4641
Li Np Sc Se
3 2 1 6
Cartesian
0.0000 0.0000 0.0000
3.4828 1.9890 0.0000
3.4828 -1.9890 0.0000
2.3225 4.0192 3.2320
2.3225 -4.0192 3.2320
2.3225 0.0000 3.2320
1.2047 1.9357 1.5979
0.0889 0.0000 4.8489
1.2047 -1.9357 1.5979
3.4402 1.9357 4.8662
4.5561 0.0000 1.6152
3.4402 -1.9357 4.8662



Record 6
LiNpScTe3 PBE optimized geometry; total magnetic moment = 4.75 μB per formula unit; space group = P2_1/m; crystal system = monoclinic; calculated density = 6.80 g/cm3
1.0
8.5899 0.0000 0.0000
0.0000 4.1979 0.0000
-2.3442 0.0000 9.0994
Li Np Sc Te
2 2 2 6
Cartesian
0.5503 1.0495 0.7782
5.6955 3.1484 8.3212
-0.0867 1.0495 6.6777
6.3325 3.1484 2.4217
2.0228 3.1484 3.0756
4.2229 1.0495 6.0238
-0.0446 1.0495 3.4012
2.1110 3.1484 0.0660
2.1857 3.1484 6.0361
4.0600 1.0495 3.0633
4.1348 1.0495 9.0334
6.2904 3.1484 5.6982



Record 7
LiNp2ScTe5 PBE optimized geometry; total magnetic moment = 0.04 μB per formula unit; space group = Cmc2_1; crystal system = orthorhombic; calculated density = 7.61 g/cm3
1.0
2.1469 -9.1859 0.0000
2.1469 9.1859 0.0000
0.0000 0.0000 12.8734
Li Np Sc Te
2 4 2 10
Cartesian
2.1469 7.9832 6.4367
2.1469 -7.9832 0.0000
2.1469 2.3202 4.4493
2.1469 2.0036 9.3418
2.1469 -2.0036 2.9052
2.1469 -2.3202 10.8860
2.1469 3.5887 0.6955
2.1469 -3.5887 7.1322
2.1469 9.1573 10.5694
2.1469 6.5507 0.5395
2.1469 5.6337 5.0313
2.1469 5.2381 9.1126
2.1469 0.8727 1.4284
2.1469 -0.8727 7.8651
2.1469 -5.2381 2.6759
2.1469 -5.6337 11.4680
2.1469 -6.5507 6.9762
2.1469 -9.1573 4.1327



Record 8
LiNp5Se8 PBE optimized geometry; total magnetic moment = 20.00 μB per formula unit; space group = I-4; crystal system = tetragonal; calculated density = 9.35 g/cm3
1.0
-4.3019 4.3019 4.3758
4.3019 -4.3019 4.3758
4.3019 4.3019 -4.3758
Li Np Se
1 5 8
Cartesian
0.0000 0.0000 0.0000
5.3777 2.1295 -1.1393
4.3019 0.0000 2.1879
2.1295 3.2262 1.1393
-1.0757 2.1724 3.2366
2.1724 1.0757 5.5151
2.7548 0.6246 -0.3864
2.7662 3.6353 -1.6596
3.6773 -1.5472 4.7623
1.5358 0.6667 2.7163
4.9686 2.7662 1.6596
0.6246 5.8491 0.3864
-0.6667 1.5358 6.0354
1.5472 3.6773 3.9894



Record 9
LiNpSe3 PBE optimized geometry; total magnetic moment = 2.00 μB per formula unit; space group = C2/m; crystal system = monoclinic; calculated density = 5.06 g/cm3
1.0
6.6637 -2.7555 0.0000
6.6637 2.7555 0.0000
-0.4787 0.0000 8.5900
Li Np Se
2 2 6
Cartesian
3.0910 0.0000 2.8897
9.7576 0.0000 5.7003
1.4257 0.0000 7.8396
11.4229 0.0000 0.7503
0.6660 0.0000 1.6697
2.4412 0.0000 5.4444
4.4381 0.0000 0.5291
8.4105 0.0000 8.0609
10.4075 0.0000 3.1455
12.1827 0.0000 6.9203



Record 10
LiNpSe PBE optimized geometry; total magnetic moment = 0.00 μB per formula unit; space group = R-3m; crystal system = trigonal; calculated density = 10.13 g/cm3
1.0
1.8413 1.0631 9.0118
-1.8413 1.0631 9.0118
0.0000 -2.1261 9.0118
Li Np Se
2 2 2
Cartesian
0.0000 0.0000 5.3329
0.0000 0.0000 21.7026
0.0000 0.0000 9.6548
0.0000 0.0000 17.3807
0.0000 0.0000 2.6257
0.0000 0.0000 24.4098



Record 11
Li8NpSe6 PBE optimized geometry; total magnetic moment = 3.00 μB per formula unit; space group = R-3; crystal system = trigonal; calculated density = 4.22 g/cm3
1.0
3.6029 2.0801 6.7130
-3.6029 2.0801 6.7130
0.0000 -4.1603 6.7130
Li Np Se
8 1 6
Cartesian
-2.4855 -0.0475 7.5970
0.0000 0.0000 3.2944
-1.2016 -2.1762 12.5419
1.2839 -2.1288 7.5970
-1.2839 2.1288 12.5419
1.2016 2.1762 7.5970
0.0000 0.0000 16.8445
2.4855 0.0475 12.5419
0.0000 0.0000 10.0695
-1.1392 -2.0389 8.4538
-2.3354 -0.0329 11.6851
-1.1962 2.0060 8.4538
1.1962 -2.0060 11.6851
2.3354 0.0329 8.4538
1.1392 2.0389 11.6851



Record 12
LiNp5Se6 PBE optimized geometry; total magnetic moment = 4.43 μB per formula unit; space group = C2/m; crystal system = monoclinic; calculated density = 9.60 g/cm3
1.0
3.5212 -6.1011 0.0000
3.5212 6.1011 0.0000
-2.3578 0.0000 6.7056
Li Np Se
1 5 6
Cartesian
0.0000 0.0000 0.0000
2.3423 4.0404 3.3528
3.5212 2.0248 0.0000
2.3423 0.0000 3.3528
3.5212 -2.0248 0.0000
2.3423 -4.0404 3.3528
1.1423 1.9872 1.6304
-0.0572 0.0000 5.0501
1.1423 -1.9872 1.6304
3.5423 1.9872 5.0752
4.7419 0.0000 1.6555
3.5423 -1.9872 5.0752



Record 13
LiNp3Se4 PBE optimized geometry; total magnetic moment = 13.38 μB per formula unit; space group = I4/mmm; crystal system = tetragonal; calculated density = 8.85 g/cm3
1.0
-2.8962 2.8962 5.7804
2.8962 -2.8962 5.7804
2.8962 2.8962 -5.7804
Li Np Se
1 3 4
Cartesian
0.0000 0.0000 0.0000
2.8962 0.0000 2.8902
0.0000 0.0000 5.7804
0.0000 2.8962 2.8902
2.8962 0.0000 0.0000
0.0000 0.0000 2.8582
0.0000 2.8962 0.0000
0.0000 0.0000 8.7026



Record 14
LiNp6Se8 PBE optimized geometry; total magnetic moment = 25.62 μB per formula unit; space group = Fm-3m; crystal system = cubic; calculated density = 8.90 g/cm3
1.0
0.0000 5.7711 5.7711
5.7711 0.0000 5.7711
5.7711 5.7711 0.0000
Li Np Se
1 6 8
Cartesian
0.0000 0.0000 0.0000
2.8856 2.8856 0.0000
2.8856 0.0000 2.8856
5.7711 2.8856 2.8856
0.0000 2.8856 2.8856
2.8856 5.7711 2.8856
2.8856 2.8856 5.7711
5.7711 5.7711 2.8645
5.7711 2.8645 5.7711
8.6777 5.7711 5.7711
2.8856 2.8856 2.8856
8.6567 8.6567 8.6567
2.8645 5.7711 5.7711
5.7711 8.6777 5.7711
5.7711 5.7711 8.6777



Record 15
Li5NpSe6 PBE optimized geometry; total magnetic moment = 0.24 μB per formula unit; space group = C2/m; crystal system = monoclinic; calculated density = 5.01 g/cm3
1.0
3.3716 -5.8188 0.0000
3.3716 5.8188 0.0000
-2.2522 0.0000 6.3032
Li Np Se
5 1 6
Cartesian
0.0000 0.0000 0.0000
2.2455 3.8632 3.1516
3.3716 1.8598 0.0000
3.3716 -1.8598 0.0000
2.2455 -3.8632 3.1516
2.2455 0.0000 3.1516
1.1715 1.8836 1.5801
0.0500 0.0000 4.6536
1.1715 -1.8836 1.5801
3.3195 1.8836 4.7231
4.4410 0.0000 1.6496
3.3195 -1.8836 4.7231



Record 16
LiNpSe3 PBE optimized geometry; total magnetic moment = 3.96 μB per formula unit; space group = Imma; crystal system = orthorhombic; calculated density = 5.84 g/cm3
1.0
-2.7995 4.8969 4.9898
2.7995 -4.8969 4.9898
2.7995 4.8969 -4.9898
Li Np Se
2 2 6
Cartesian
0.0000 0.0000 0.0000
0.0000 4.8969 0.0000
2.7995 2.4484 0.8885
0.0000 2.4484 4.1014
2.7995 -0.5050 1.1781
2.7995 4.3919 -1.1781
0.0000 2.4484 1.1669
2.7995 2.4484 3.8229
0.0000 0.5050 6.1679
0.0000 5.4019 3.8118



Record 17
LiNp4Se5 PBE optimized geometry; total magnetic moment = 17.47 μB per formula unit; space group = I4/mmm; crystal system = tetragonal; calculated density = 9.30 g/cm3
1.0
-2.0466 2.0466 14.3904
2.0466 -2.0466 14.3904
2.0466 2.0466 -14.3904
Li Np Se
1 4 5
Cartesian
0.0000 0.0000 0.0000
0.0000 0.0000 5.7557
0.0000 0.0000 11.5882
0.0000 0.0000 17.1926
0.0000 0.0000 23.0251
0.0000 0.0000 2.8236
0.0000 0.0000 8.6725
0.0000 0.0000 14.3904
0.0000 0.0000 20.1083
0.0000 0.0000 25.9573



Record 18
Li2Np2Se5 PBE optimized geometry; total magnetic moment = 6.00 μB per formula unit; space group = Ima2; crystal system = orthorhombic; calculated density = 6.93 g/cm3
1.0
-8.5920 3.6014 3.4158
8.5920 -3.6014 3.4158
8.5920 3.6014 -3.4158
Li Np Se
4 4 10
Cartesian
0.0000 0.0000 0.0000
8.5920 0.0000 0.0000
12.8880 -0.7670 0.8145
4.2960 0.7670 0.8145
1.6509 -0.4287 3.7921
6.9411 -0.4287 3.7921
1.6509 4.0300 0.3763
6.9411 4.0300 0.3763
8.0729 1.9293 -1.6103
9.1111 -1.6721 1.8054
11.2006 0.7485 -0.4252
14.5753 0.7485 -0.4252
4.2960 3.1574 -0.0717
0.5191 1.6721 1.8054
8.0729 1.6721 1.8054
4.2960 0.4440 3.3441
-5.9833 2.8529 2.9906
-2.6086 2.8529 2.9906



Record 19
Li3NpSe3 PBE optimized geometry; total magnetic moment = 4.00 μB per formula unit; space group = R-3; crystal system = trigonal; calculated density = 5.15 g/cm3
1.0
3.6843 2.1271 6.7901
-3.6843 2.1271 6.7901
0.0000 -4.2543 6.7901
Li Np Se
6 2 6
Cartesian
-1.0814 -2.2814 9.2635
-2.5164 -0.2042 11.1069
-1.4350 2.0772 9.2635
1.4350 -2.0772 11.1069
2.5164 0.2042 9.2635
1.0814 2.2814 11.1069
0.0000 0.0000 6.7992
0.0000 0.0000 13.5711
-2.3808 -0.1763 8.4844
-1.0377 -2.1499 11.8859
1.3430 -1.9737 8.4844
-1.3430 1.9737 11.8859
1.0377 2.1499 8.4844
2.3808 0.1763 11.8859



Record 20
Li2NpSe3 PBE optimized geometry; total magnetic moment = 3.00 μB per formula unit; space group = Fddd; crystal system = orthorhombic; calculated density = 6.00 g/cm3
1.0
0.0000 5.6576 12.0914
3.9499 0.0000 12.0914
3.9499 5.6576 0.0000
Li Np Se
8 4 12
Cartesian
0.9875 1.4144 0.9854
2.9624 4.2432 3.0792
0.9875 1.4144 5.0603
4.9374 7.0720 9.1249
2.9624 4.2432 15.0579
6.9124 9.9008 19.1225
4.9374 7.0720 21.1036
6.9124 9.9008 23.1974
2.9624 4.2432 7.0584
2.9624 4.2432 11.0787
4.9374 7.0720 13.1041
4.9374 7.0720 17.1244
2.9540 1.4377 7.0213
4.9285 4.2432 9.0685
2.9709 1.4377 11.1158
4.9458 4.2665 13.0670
6.9034 7.0720 15.1142
4.9290 4.2665 17.1615
2.9709 7.0487 7.0213
0.9964 4.2432 9.0685
2.9540 7.0487 11.1158
4.9290 9.8775 13.0670
2.9714 7.0720 15.1142
4.9458 9.8775 17.1615



Number 1: formation energy without anion corrections -1.282 eV per atom. Number 2: formation energy without anion corrections -1.375 eV per atom. Number 3: formation energy without anion corrections -1.256 eV per atom. Number 4: formation energy without anion corrections -1.445 eV per atom. Number 5: formation energy without anion corrections -1.314 eV per atom. Number 6: formation energy without anion corrections -0.902 eV per atom. Number 7: formation energy without anion corrections -0.818 eV per atom. Number 8: formation energy without anion corrections -1.194 eV per atom. Number 9: formation energy without anion corrections -0.918 eV per atom. Number 10: formation energy without anion corrections -0.940 eV per atom. Number 11: formation energy without anion corrections -1.213 eV per atom. Number 12: formation energy without anion corrections -1.061 eV per atom. Number 13: formation energy without anion corrections -1.130 eV per atom. Number 14: formation energy without anion corrections -1.120 eV per atom. Number 15: formation energy without anion corrections -1.001 eV per atom. Number 16: formation energy without anion corrections -0.887 eV per atom. Number 17: formation energy without anion corrections -1.109 eV per atom. Number 18: formation energy without anion corrections -0.990 eV per atom. Number 19: formation energy without anion corrections -1.193 eV per atom. Number 20: formation energy without anion corrections -1.190 eV per atom.